YZr2In: optimized geometry, GGA-PBE.

Cell lengths 5.832, 5.832, 5.510 Å; angles 77.80, 77.80, 32.74 degrees
Positions (direct):
Y 0.750 0.750 0.750
Zr 0.515 0.515 0.487
Zr 0.985 0.985 0.013
In 0.250 0.250 0.250

Results
- N(E_F): 1.1176 states/eV/atom
- Density: 6.48 g cm⁻³
- Calculated formation energy: -0.118 eV/atom
- Offset from the most stable computed form: 45 kJ/mol of formula units

Y12ZrIn3: optimized geometry, GGA-PBE.

Cell lengths 4.855, 4.855, 19.696 Å; angles 90.00, 90.00, 90.00 degrees
Positions (direct):
Y 0.500 0.000 0.624
Y 0.500 0.500 0.000
Y 0.500 0.500 0.748
Y 0.000 0.500 0.125
Y 0.500 0.500 0.500
Y 0.500 0.000 0.376
Y 0.500 0.000 0.875
Y 0.000 0.500 0.875
Y 0.500 0.500 0.252
Y 0.000 0.500 0.624
Y 0.500 0.000 0.125
Y 0.000 0.500 0.376
In 0.000 0.000 0.746
In 0.000 0.000 0.500
In 0.000 0.000 0.254
Zr 0.000 0.000 0.000

Results
- N(E_F): 1.2033 states/eV/atom
- Density: 5.38 g cm⁻³
- Calculated formation energy: -0.188 eV/atom

YZr2In: optimized geometry, GGA-PBE.

Cell lengths 5.704, 5.704, 5.704 Å; angles 133.19, 133.19, 68.36 degrees
Positions (direct):
In 0.500 0.500 0.000
Y 0.750 0.250 0.500
Zr 0.000 0.000 0.000
Zr 0.250 0.750 0.500

Results
- N(E_F): 0.7692 states/eV/atom
- Density: 6.62 g cm⁻³
- Calculated formation energy: -0.164 eV/atom
- Offset from the most stable computed form: 27 kJ/mol of formula units

Y3ZrIn: optimized geometry, GGA-PBE.

Cell lengths 5.652, 5.652, 5.652 Å; angles 90.00, 90.00, 90.00 degrees
Last column: magnetic moment on the atom in μB.
Positions (direct):
In 0.000 0.000 0.000  0.06
Zr 0.500 0.500 0.500  1.24
Y 0.000 0.500 0.000  0.21
Y 0.000 0.000 0.500  0.25
Y 0.500 0.000 0.000  0.28

Results
- N(E_F): 1.9786 states/eV/atom
- Density: 4.35 g cm⁻³
- Calculated formation energy: 0.674 eV/atom
- Offset from the most stable computed form: 50 kJ/mol of formula units

YZr3In: optimized geometry, GGA-PBE.

Cell lengths 5.211, 5.211, 5.211 Å; angles 90.00, 90.00, 90.00 degrees
Last column: magnetic moment on the atom in μB.
Positions (direct):
Zr 0.000 0.500 0.000  0.23
Zr 0.500 0.000 0.000  0.24
Zr 0.000 0.000 0.500  0.13
In 0.500 0.500 0.500  -0.01
Y 0.000 0.000 0.000  0.09

Results
- N(E_F): 2.0165 states/eV/atom
- Density: 5.60 g cm⁻³
- Calculated formation energy: 1.246 eV/atom
- Offset from the most stable computed form: 204 kJ/mol of formula units

Y3Zr5In12: optimized geometry, GGA-PBE.

Cell lengths 14.987, 14.987, 14.987 Å; angles 109.47, 109.47, 109.47 degrees
Positions (direct):
In 0.161 0.083 0.724
In 0.423 0.360 0.583
In 0.937 0.577 0.161
In 0.417 0.140 0.577
In 0.077 0.161 0.437
In 0.563 0.224 0.140
In 0.077 0.917 0.140
In 0.661 0.224 0.583
In 0.437 0.661 0.077
In 0.276 0.860 0.937
In 0.839 0.917 0.276
In 0.640 0.063 0.224
In 0.339 0.563 0.423
In 0.923 0.839 0.563
In 0.923 0.083 0.860
In 0.140 0.724 0.563
In 0.161 0.077 0.937
In 0.360 0.937 0.776
In 0.563 0.339 0.923
In 0.860 0.276 0.437
In 0.917 0.077 0.640
In 0.724 0.140 0.063
In 0.577 0.937 0.661
In 0.360 0.423 0.083
In 0.063 0.423 0.839
In 0.417 0.276 0.339
In 0.860 0.583 0.923
In 0.776 0.339 0.917
In 0.776 0.437 0.360
In 0.583 0.724 0.661
In 0.917 0.839 0.776
In 0.577 0.640 0.417
In 0.224 0.661 0.083
In 0.224 0.563 0.640
In 0.724 0.583 0.161
In 0.083 0.923 0.360
In 0.583 0.860 0.423
In 0.661 0.437 0.577
In 0.937 0.360 0.276
In 0.140 0.417 0.077
In 0.839 0.923 0.063
In 0.423 0.063 0.339
In 0.640 0.577 0.917
In 0.276 0.417 0.839
In 0.339 0.776 0.417
In 0.083 0.161 0.224
In 0.437 0.776 0.860
In 0.063 0.640 0.724
Zr 0.625 0.875 0.250
Zr 0.500 0.500 0.500
Zr 0.875 0.250 0.625
Zr 0.750 0.625 0.375
Zr 0.375 0.125 0.750
Zr 0.500 0.000 0.000
Zr 0.500 0.500 0.000
Zr 0.250 0.875 0.125
Zr 0.750 0.125 0.875
Zr 0.250 0.375 0.625
Zr 0.375 0.250 0.125
Zr 0.000 0.000 0.000
Zr 0.875 0.625 0.750
Zr 0.000 0.500 0.500
Zr 0.625 0.750 0.875
Zr 0.125 0.375 0.250
Zr 0.000 0.500 0.000
Zr 0.125 0.750 0.375
Zr 0.000 0.000 0.500
Zr 0.500 0.000 0.500
Y 0.125 0.250 0.875
Y 0.750 0.375 0.125
Y 0.375 0.625 0.250
Y 0.750 0.875 0.625
Y 0.875 0.125 0.250
Y 0.625 0.250 0.375
Y 0.375 0.750 0.625
Y 0.125 0.875 0.750
Y 0.250 0.125 0.375
Y 0.625 0.375 0.750
Y 0.875 0.750 0.125
Y 0.250 0.625 0.875

Results
- N(E_F): 1.2069 states/eV/atom
- Density: 5.38 g cm⁻³
- Calculated formation energy: 0.483 eV/atom

YZr2In: optimized geometry, GGA-PBE.

Cell lengths 5.287, 5.287, 3.471 Å; angles 90.00, 90.00, 90.00 degrees
Positions (direct):
Zr 0.500 0.500 0.000
Zr 0.000 0.000 0.000
In 0.500 0.000 0.500
Y 0.000 0.500 0.500

Results
- N(E_F): 1.0490 states/eV/atom
- Density: 6.61 g cm⁻³
- Calculated formation energy: -0.008 eV/atom
- Offset from the most stable computed form: 88 kJ/mol of formula units

YZr2In: optimized geometry, GGA-PBE.

Cell lengths 10.613, 10.613, 10.613 Å; angles 18.20, 18.20, 18.20 degrees
Positions (direct):
Zr 0.251 0.251 0.251
Zr 0.995 0.995 0.995
In 0.504 0.504 0.504
Y 0.750 0.750 0.750

Results
- N(E_F): 1.1147 states/eV/atom
- Density: 6.30 g cm⁻³
- Calculated formation energy: -0.076 eV/atom
- Offset from the most stable computed form: 61 kJ/mol of formula units

YZr2In: optimized geometry, GGA-PBE.

Cell lengths 5.135, 5.135, 5.135 Å; angles 60.00, 60.00, 60.00 degrees
Positions (direct):
Y 0.000 0.000 0.000
In 0.500 0.500 0.500
Zr 0.750 0.750 0.750
Zr 0.250 0.250 0.250

Results
- N(E_F): 0.4532 states/eV/atom
- Density: 6.70 g cm⁻³
- Calculated formation energy: 0.000 eV/atom
- Offset from the most stable computed form: 91 kJ/mol of formula units

YZr2In2: optimized geometry, GGA-PBE.

Cell lengths 8.260, 8.260, 3.620 Å; angles 90.00, 90.00, 90.00 degrees
Positions (direct):
Y 0.500 0.500 0.000
Y 0.000 0.000 0.000
Zr 0.174 0.674 0.500
Zr 0.674 0.826 0.500
Zr 0.826 0.326 0.500
Zr 0.326 0.174 0.500
In 0.126 0.374 0.000
In 0.626 0.126 0.000
In 0.374 0.874 0.000
In 0.874 0.626 0.000

Results
- N(E_F): 1.0423 states/eV/atom
- Density: 6.74 g cm⁻³
- Calculated formation energy: -0.226 eV/atom
- Offset from the most stable computed form: 0 kJ/mol of formula units

YZr5In6: optimized geometry, GGA-PBE.

Cell lengths 4.539, 8.424, 8.424 Å; angles 107.47, 105.61, 105.61 degrees
Positions (direct):
Y 0.000 0.000 0.000
In 0.246 0.746 0.746
In 0.252 0.084 0.420
In 0.252 0.420 0.084
In 0.754 0.254 0.254
In 0.748 0.580 0.916
In 0.748 0.916 0.580
Zr 0.000 0.666 0.334
Zr 0.500 0.172 0.828
Zr 0.500 0.500 0.500
Zr 0.500 0.828 0.172
Zr 0.000 0.334 0.666

Results
- N(E_F): 0.8115 states/eV/atom
- Density: 7.49 g cm⁻³
- Calculated formation energy: -0.322 eV/atom

Y5ZrIn6: optimized geometry, GGA-PBE.

Cell lengths 5.530, 6.907, 8.833 Å; angles 66.98, 84.28, 90.00 degrees
Positions (direct):
Y 0.682 0.168 0.665
Y 0.318 0.832 0.335
Y 0.000 0.500 0.000
Y 0.324 0.332 0.336
Y 0.676 0.668 0.664
In 0.176 0.917 0.677
In 0.500 0.241 0.000
In 0.500 0.759 0.000
In 0.824 0.083 0.323
In 0.176 0.406 0.677
In 0.824 0.594 0.323
Zr 0.000 0.000 0.000

Results
- N(E_F): 0.7308 states/eV/atom
- Density: 6.59 g cm⁻³
- Calculated formation energy: -0.441 eV/atom

YZr4In: optimized geometry, GGA-PBE.

Cell lengths 5.945, 5.945, 5.945 Å; angles 60.00, 60.00, 60.00 degrees
Positions (direct):
Zr 0.372 0.883 0.372
Zr 0.883 0.372 0.372
Zr 0.372 0.372 0.883
Zr 0.372 0.372 0.372
Y 0.000 0.000 0.000
In 0.750 0.750 0.750

Results
- N(E_F): 1.6150 states/eV/atom
- Density: 6.36 g cm⁻³
- Calculated formation energy: 0.116 eV/atom

Y4ZrIn5: optimized geometry, GGA-PBE.

Cell lengths 3.537, 3.537, 20.540 Å; angles 90.00, 90.00, 90.00 degrees
Positions (direct):
Y 0.000 0.000 0.194
Y 0.000 0.000 0.806
Y 0.000 0.000 0.602
Y 0.000 0.000 0.398
In 0.500 0.500 0.908
In 0.500 0.500 0.296
In 0.500 0.500 0.092
In 0.500 0.500 0.704
In 0.500 0.500 0.500
Zr 0.000 0.000 0.000

Results
- N(E_F): 0.5463 states/eV/atom
- Density: 6.60 g cm⁻³
- Calculated formation energy: -0.430 eV/atom

Y3ZrIn4: optimized geometry, GGA-PBE.

Cell lengths 3.792, 3.792, 14.243 Å; angles 90.00, 90.00, 90.00 degrees
Last column: magnetic moment on the atom in μB.
Positions (direct):
Y 0.500 0.500 0.500  -0.01
Y 0.500 0.500 0.761  0.03
Y 0.500 0.500 0.239  0.03
In 0.000 0.000 0.369  0.00
In 0.000 0.000 0.111  0.01
In 0.000 0.000 0.889  0.01
In 0.000 0.000 0.631  0.00
Zr 0.500 0.500 0.000  0.34

Results
- N(E_F): 0.6886 states/eV/atom
- Density: 6.63 g cm⁻³
- Calculated formation energy: -0.407 eV/atom

YZr2In: optimized geometry, GGA-PBE.

Cell lengths 5.174, 5.174, 5.174 Å; angles 60.00, 60.00, 60.00 degrees
Last column: magnetic moment on the atom in μB.
Positions (direct):
In 0.500 0.500 0.500  -0.02
Y 0.750 0.750 0.750  0.08
Zr 0.000 0.000 0.000  0.67
Zr 0.250 0.250 0.250  0.23

Results
- N(E_F): 1.7641 states/eV/atom
- Density: 6.55 g cm⁻³
- Calculated formation energy: -0.047 eV/atom
- Offset from the most stable computed form: 73 kJ/mol of formula units

YZr2In: optimized geometry, GGA-PBE.

Cell lengths 5.249, 3.249, 5.785 Å; angles 89.80, 90.00, 90.00 degrees
Positions (direct):
In 0.000 0.375 0.531
Y 0.500 0.872 0.702
Zr 0.500 0.375 0.204
Zr 0.000 0.878 0.063

Results
- N(E_F): 1.1963 states/eV/atom
- Density: 6.50 g cm⁻³
- Calculated formation energy: -0.115 eV/atom
- Offset from the most stable computed form: 47 kJ/mol of formula units

Y4ZrIn: optimized geometry, GGA-PBE.

Cell lengths 6.287, 6.287, 6.287 Å; angles 60.00, 60.00, 60.00 degrees
Last column: magnetic moment on the atom in μB.
Positions (direct):
Y 0.376 0.873 0.376  0.04
Y 0.376 0.376 0.873  0.04
Y 0.376 0.376 0.376  0.04
Y 0.873 0.376 0.376  0.04
In 0.000 0.000 0.000  -0.02
Zr 0.750 0.750 0.750  0.68

Results
- N(E_F): 0.7743 states/eV/atom
- Density: 5.31 g cm⁻³
- Calculated formation energy: 0.324 eV/atom

Y3ZrIn: optimized geometry, GGA-PBE.

Cell lengths 5.501, 5.501, 5.501 Å; angles 90.00, 90.00, 90.00 degrees
Positions (direct):
Zr 0.000 0.000 0.000
Y 0.000 0.000 0.500
Y 0.000 0.500 0.000
Y 0.500 0.000 0.000
In 0.500 0.500 0.500

Results
- N(E_F): 1.1170 states/eV/atom
- Density: 4.72 g cm⁻³
- Calculated formation energy: 0.570 eV/atom
- Offset from the most stable computed form: 0 kJ/mol of formula units

YZr2In2: optimized geometry, GGA-PBE.

Cell lengths 4.496, 4.496, 7.355 Å; angles 72.20, 72.20, 90.00 degrees
Last column: magnetic moment on the atom in μB.
Positions (direct):
Y 0.000 0.000 0.000  0.13
In 0.750 0.250 0.500  -0.01
In 0.250 0.750 0.500  -0.01
Zr 0.602 0.602 0.796  0.20
Zr 0.398 0.398 0.204  0.20

Results
- N(E_F): 1.0476 states/eV/atom
- Density: 6.21 g cm⁻³
- Calculated formation energy: 0.163 eV/atom
- Offset from the most stable computed form: 187 kJ/mol of formula units